Record 1
{"formula": "Pm2Eu", "functional": "PBE", "state": "optimized geometry", "dft_energy_ev_per_cell": -38.3, "magnetic_moment_mub_per_fu": 7.2, "spacegroup": "Fd-3m (227)", "cell": [[-5.5577, -4.1205, 0.0583], [0.5458, -6.5744, -2.0855], [-0.4474, -5.1400, 4.6098]], "species": ["Eu", "Eu", "Pm", "Pm", "Pm", "Pm"], "frac_coords": [[0.0000, 0.0000, 0.0000], [0.2500, 0.2500, 0.2500], [0.1250, 0.6250, 0.6250], [0.6250, 0.1250, 0.6250], [0.6250, 0.6250, 0.6250], [0.6250, 0.6250, 0.1250]]}



Record 2
{"formula": "CuAsP2", "functional": "PBE", "state": "optimized geometry", "dft_energy_ev_per_cell": -17.8, "magnetic_moment_mub_per_fu": 0.0, "spacegroup": "P4/mmm (123)", "cell": [[-1.0481, 2.0800, -2.4365], [-2.6547, 0.8701, 1.8848], [2.9264, 4.0907, 2.2333]], "species": ["As", "Cu", "P", "P"], "frac_coords": [[0.5000, 0.5000, 0.2500], [0.5000, 0.5000, 0.7500], [0.0000, 0.0000, 0.9496], [0.0000, 0.0000, 0.5504]]}



Record 3
{"formula": "SrSi2Ir", "functional": "PBE", "state": "optimized geometry", "magnetic_moment_mub_per_fu": 0.0, "spacegroup": "P4/mmm (123)", "formation_energy_uncorrected_ev_per_fu": -0.942, "cell": [[-0.8677, -1.6201, 2.7213], [-1.5218, -2.2612, -1.8314], [5.8957, -3.7042, -0.3255]], "species": ["Ir", "Si", "Si", "Sr"], "frac_coords": [[0.5000, 0.5000, 0.7500], [0.0000, 0.0000, 0.9271], [0.0000, 0.0000, 0.5729], [0.5000, 0.5000, 0.2500]]}



Record 4
{"formula": "Er2SiGe2Ru5", "functional": "PBE", "state": "optimized geometry", "magnetic_moment_mub_per_fu": 0.0, "spacegroup": "P4/mbm (127)", "formation_energy_uncorrected_ev_per_fu": -5.113, "cell": [[-2.0199, 2.1640, 1.2793], [-1.0668, -5.7831, 8.0980], [7.7283, 4.6490, 4.3381]], "species": ["Er", "Er", "Er", "Er", "Si", "Si", "Ge", "Ge", "Ge", "Ge", "Ru", "Ru", "Ru", "Ru", "Ru", "Ru", "Ru", "Ru", "Ru", "Ru"], "frac_coords": [[0.0000, 0.6713, 0.1713], [0.0000, 0.3287, 0.8287], [0.0000, 0.1713, 0.3287], [0.0000, 0.8287, 0.6713], [0.0000, 0.0000, 0.0000], [0.0000, 0.5000, 0.5000], [0.0000, 0.1311, 0.6311], [0.0000, 0.8689, 0.3689], [0.0000, 0.6311, 0.8689], [0.0000, 0.3689, 0.1311], [0.5000, 0.1958, 0.0611], [0.5000, 0.8042, 0.9389], [0.5000, 0.0611, 0.8042], [0.5000, 0.6958, 0.4389], [0.5000, 0.9389, 0.1958], [0.5000, 0.3042, 0.5611], [0.5000, 0.5611, 0.6958], [0.5000, 0.4389, 0.3042], [0.5000, 0.5000, 0.0000], [0.5000, 0.0000, 0.5000]]}



Record 5
{"formula": "Pu2BeGaPd6", "functional": "PBE", "state": "optimized geometry", "dft_energy_ev_per_cell": -71.1, "magnetic_moment_mub_per_fu": 10.8, "spacegroup": "P-1 (2)", "cell": [[-3.1493, -2.7781, -3.9784], [1.9433, -6.3234, 2.8556], [-3.8003, -5.5121, 2.6207]], "species": ["Pu", "Pu", "Be", "Ga", "Pd", "Pd", "Pd", "Pd", "Pd", "Pd"], "frac_coords": [[0.7856, 0.2200, 0.4319], [0.2144, 0.7800, 0.5681], [0.0000, 0.0000, 0.0000], [0.5000, 0.5000, 0.0000], [0.2415, 0.2850, 0.5215], [0.7265, 0.7643, 0.0344], [0.2421, 0.7651, 0.0376], [0.7579, 0.2349, 0.9624], [0.2735, 0.2357, 0.9656], [0.7585, 0.7150, 0.4785]]}



Record 6
{"formula": "PmAl4Au6", "functional": "PBE", "state": "optimized geometry", "dft_energy_ev_per_cell": -43.9, "magnetic_moment_mub_per_fu": 0.0, "spacegroup": "I-42m (121)", "cell": [[6.7711, -0.1198, -0.1762], [-3.2369, 5.9485, 0.1762], [-3.2369, -2.0232, 5.5967]], "species": ["Pm", "Al", "Al", "Al", "Al", "Au", "Au", "Au", "Au", "Au", "Au"], "frac_coords": [[0.0000, 0.0000, 0.0000], [0.0000, 0.2384, 0.5792], [0.6593, 0.4208, 0.4208], [0.0000, 0.5792, 0.2384], [0.3407, 0.7616, 0.7616], [0.0000, 0.8762, 0.5030], [0.0000, 0.5030, 0.8762], [0.6268, 0.1238, 0.1238], [0.5000, 0.0000, 0.5000], [0.3732, 0.4970, 0.4970], [0.5000, 0.5000, 0.0000]]}



Record 7
{"formula": "ZrScAs", "functional": "PBE", "state": "optimized geometry", "dft_energy_ev_per_cell": -88.4, "magnetic_moment_mub_per_fu": 0.0, "spacegroup": "P2_1/c (14)", "cell": [[-4.4126, 2.1087, 4.8065], [-3.8284, -3.4023, -2.0219], [1.6685, -5.1785, 3.8037]], "species": ["As", "As", "As", "As", "Sc", "Sc", "Sc", "Sc", "Zr", "Zr", "Zr", "Zr"], "frac_coords": [[0.5577, 0.1540, 0.6978], [0.0577, 0.8460, 0.8022], [0.4423, 0.8460, 0.3022], [0.9423, 0.1540, 0.1978], [0.7899, 0.8436, 0.5009], [0.7101, 0.8436, 0.0009], [0.2101, 0.1564, 0.4991], [0.2899, 0.1564, 0.9991], [0.1041, 0.6179, 0.1970], [0.3959, 0.6179, 0.6970], [0.8959, 0.3821, 0.8030], [0.6041, 0.3821, 0.3030]]}



Record 8
{"formula": "Sm2AuBr", "functional": "PBE", "state": "optimized geometry", "magnetic_moment_mub_per_fu": 0.0, "spacegroup": "R-3m (166)", "formation_energy_uncorrected_ev_per_fu": -3.816, "cell": [[-1.0542, -3.4024, -2.2933], [1.6955, -0.5748, -3.8395], [5.8437, -5.1297, 1.0113]], "species": ["Au", "Br", "Sm", "Sm"], "frac_coords": [[0.0000, 0.0000, 0.0000], [0.5000, 0.5000, 0.5000], [0.2602, 0.2602, 0.2193], [0.7398, 0.7398, 0.7807]]}